Record 1
{
  "formula": "Ac2Ga4Cu3Ge",
  "functional": "PBE-GGA",
  "state": "relaxed",
  "n_ef_per_ev_fu": 4.50,
  "delta_e_f_ev_per_atom": -0.439,
  "final_energy_ev_per_atom": -4.162,
  "space_group": "P-4m2",
  "total_magnetization_mub_per_cell": 0.00,
  "lattice_angstrom": [[-2.094, -2.747, -2.699], [3.232, -2.924, 0.468], [-5.033, -4.247, 8.226]],
  "species": ["Ac", "Ac", "Ga", "Ga", "Ga", "Ga", "Cu", "Cu", "Cu", "Ge"],
  "fractional_positions": [[0.500, 0.000, 0.249], [0.000, 0.500, 0.751], [0.500, 0.500, 0.000], [0.000, 0.000, 0.000], [0.500, 0.000, 0.636], [0.000, 0.500, 0.364], [0.000, 0.000, 0.500], [0.500, 0.000, 0.874], [0.000, 0.500, 0.126], [0.500, 0.500, 0.500]]
}

Record 2
{
  "formula": "Ac2Ga3Cu4Ge",
  "functional": "PBE-GGA",
  "state": "relaxed",
  "n_ef_per_ev_fu": 6.93,
  "delta_e_f_ev_per_atom": -0.406,
  "final_energy_ev_per_atom": -4.236,
  "space_group": "P-4m2",
  "total_magnetization_mub_per_cell": 0.00,
  "lattice_angstrom": [[-2.242, -1.016, 3.672], [3.734, 0.265, 2.353], [-1.742, 9.828, 1.656]],
  "species": ["Ac", "Ac", "Ga", "Ga", "Ga", "Cu", "Cu", "Cu", "Cu", "Ge"],
  "fractional_positions": [[0.500, 0.000, 0.247], [0.000, 0.500, 0.753], [0.000, 0.000, 0.500], [0.500, 0.000, 0.878], [0.000, 0.500, 0.122], [0.500, 0.500, 0.000], [0.000, 0.000, 0.000], [0.500, 0.000, 0.627], [0.000, 0.500, 0.373], [0.500, 0.500, 0.500]]
}